Density functional theory data (PBE-GGA) for a relaxed BeInCu3 crystal.

```
data_BeInCu3
_chemical_formula_sum 'Be1 In1 Cu3'
_space_group_name_H-M_alt 'P m -3 m'
_space_group_IT_number 221
_space_group_name_Hall '-P 4 2 3'
_cell_length_a 4.786
_cell_length_b 4.786
_cell_length_c 4.786
_cell_angle_alpha 90.00
_cell_angle_beta 90.00
_cell_angle_gamma 90.00
loop_
_atom_site_label
_atom_site_fract_x
_atom_site_fract_y
_atom_site_fract_z
Be1 0.000 0.000 0.000
In1 0.500 0.500 0.500
Cu1 0.000 0.500 0.500
```

Values from the calculation:
- Energy relative to the elements: 1.3089 eV per atom
- Fermi-level density of states: 2.140 states/eV/cell

***

Density functional theory data (PBE-GGA) for a relaxed BeIn3Cu crystal.

```
data_BeIn3Cu
_chemical_formula_sum 'Be1 In3 Cu1'
_space_group_name_H-M_alt 'P m -3 m'
_space_group_IT_number 221
_space_group_name_Hall '-P 4 2 3'
_cell_length_a 5.026
_cell_length_b 5.026
_cell_length_c 5.026
_cell_angle_alpha 90.00
_cell_angle_beta 90.00
_cell_angle_gamma 90.00
loop_
_atom_site_label
_atom_site_fract_x
_atom_site_fract_y
_atom_site_fract_z
Be1 0.000 0.000 0.000
In1 0.000 0.500 0.500
Cu1 0.500 0.500 0.500
```

Values from the calculation:
- Energy relative to the elements: 0.6323 eV per atom
- Fermi-level density of states: 3.106 states/eV/cell

***

Density functional theory data (PBE-GGA) for a relaxed BeIn3Cu crystal.

```
data_BeIn3Cu
_chemical_formula_sum 'Be1 In3 Cu1'
_space_group_name_H-M_alt 'P m -3 m'
_space_group_IT_number 221
_space_group_name_Hall '-P 4 2 3'
_cell_length_a 4.875
_cell_length_b 4.875
_cell_length_c 4.875
_cell_angle_alpha 90.00
_cell_angle_beta 90.00
_cell_angle_gamma 90.00
loop_
_atom_site_label
_atom_site_fract_x
_atom_site_fract_y
_atom_site_fract_z
Be1 0.000 0.000 0.000
In1 0.000 0.000 0.500
Cu1 0.500 0.500 0.500
```

Values from the calculation:
- Energy relative to the elements: 0.5025 eV per atom
- Fermi-level density of states: 2.149 states/eV/cell

***

Density functional theory data (PBE-GGA) for a relaxed BeInCu4 crystal.

```
data_BeInCu4
_chemical_formula_sum 'Be4 In4 Cu16'
_space_group_name_H-M_alt 'F -4 3 m'
_space_group_IT_number 216
_space_group_name_Hall 'F -4 2 3'
_cell_length_a 6.894
_cell_length_b 6.894
_cell_length_c 6.894
_cell_angle_alpha 90.00
_cell_angle_beta 90.00
_cell_angle_gamma 90.00
loop_
_atom_site_label
_atom_site_fract_x
_atom_site_fract_y
_atom_site_fract_z
Be1 0.000 0.000 0.000
In1 0.250 0.250 0.250
Cu1 0.126 0.126 0.626
```

Values from the calculation:
- Energy relative to the elements: 0.1595 eV per atom
- Fermi-level density of states: 11.376 states/eV/cell